This record from Alexandria via LeMat-Bulk describes a relaxed Hf3Mg3TcN8 crystal. The functional is PBE-GGA.

a b c (Å): 6.284 6.284 6.284
angles (deg): 60.06 60.06 60.06
Positions (direct):
Hf 0.000 0.500 0.500
Hf 0.500 0.000 0.500
Hf 0.500 0.500 0.000
Mg 0.000 0.000 0.500
Mg 0.000 0.500 0.000
Mg 0.500 0.000 0.000
Tc 0.000 0.000 0.000
N 0.232 0.232 0.760
N 0.232 0.760 0.232
N 0.240 0.768 0.768
N 0.253 0.253 0.253
N 0.747 0.747 0.747
N 0.760 0.232 0.232
N 0.768 0.240 0.768
N 0.768 0.768 0.240

Output
For the formation energy from raw total energies, the calculation gives -1010 meV/atom. The calculation puts the total magnetization at 0.00 μB/f.u. The calculation puts the calculated volume at 175.7 Å³/f.u.